# 1
Here is crystalline TlTe2P at its relaxed geometry from the Alexandria database. Energies are from PBE.

Output
- formation energy without anion corrections (eV per atom) = 0.451

Cell lengths 3.6990, 5.3027, 5.3160 Å; angles 90.00, 90.00, 90.00 degrees
With the nearest neighbours (Å) after each atom.
Space group Pmmm (No. 47)
Asymmetric unit:
Tl 0.0000 0.0000 0.0000  4 P 3.23, 4 Te 3.24
Te 0.0000 0.5000 0.5000  4 Te 3.23, 4 P 3.24
Te 0.5000 0.0000 0.5000  4 Te 3.23, 4 Tl 3.24
P 0.5000 0.5000 0.0000  4 Tl 3.23, 4 Te 3.24

=====

# 2
Here is crystalline Tl2TeP at its relaxed geometry from the Alexandria database. Energies are from PBE.

Output
- formation energy without anion corrections (eV per atom) = 0.285
- excess energy over the best structure of this formula in the dataset (kJ per mole of atoms) = 16.9

Cell lengths 6.2804, 11.1723, 3.1641 Å; angles 90.00, 90.00, 90.00 degrees
With the nearest neighbours (Å) after each atom.
Space group Cmmm (No. 65)
Asymmetric unit:
Tl 0.2500 0.2500 0.0000  4 Tl 3.14-3.16
Te 0.0000 0.0000 0.5000  2 P 3.14, 2 Te 3.16
P 0.0000 0.5000 0.5000  2 Te 3.14, 2 P 3.16

=====

# 3
Here is crystalline TlTe2P at its relaxed geometry from the Alexandria database. Energies are from PBE.

Output
- formation energy without anion corrections (eV per atom) = 0.482

Cell lengths 7.4674, 7.4674, 7.4674 Å; angles 90.00, 90.00, 90.00 degrees
With the nearest neighbours (Å) after each atom.
Space group Fm-3m (No. 225)
Asymmetric unit:
Tl 0.0000 0.0000 0.0000  8 Te 3.23
Te 0.2500 0.2500 0.2500  4 Tl 3.23, 4 P 3.23
P 0.0000 0.0000 0.5000  8 Te 3.23

=====

Repeat the first record exactly.
Here is crystalline TlTe2P at its relaxed geometry from the Alexandria database. Energies are from PBE.

Output
- formation energy without anion corrections (eV per atom) = 0.451

Cell lengths 3.6990, 5.3027, 5.3160 Å; angles 90.00, 90.00, 90.00 degrees
With the nearest neighbours (Å) after each atom.
Space group Pmmm (No. 47)
Asymmetric unit:
Tl 0.0000 0.0000 0.0000  4 P 3.23, 4 Te 3.24
Te 0.0000 0.5000 0.5000  4 Te 3.23, 4 P 3.24
Te 0.5000 0.0000 0.5000  4 Te 3.23, 4 Tl 3.24
P 0.5000 0.5000 0.0000  4 Tl 3.23, 4 Te 3.24

=====

- What is the formula in the third record?
  TlTe2P

=====

- What is the formation energy without anion corrections in the third record?
  0.482 eV per atom

=====

What did the second record say?
Here is crystalline Tl2TeP at its relaxed geometry from the Alexandria database. Energies are from PBE.

Output
- formation energy without anion corrections (eV per atom) = 0.285
- excess energy over the best structure of this formula in the dataset (kJ per mole of atoms) = 16.9

Cell lengths 6.2804, 11.1723, 3.1641 Å; angles 90.00, 90.00, 90.00 degrees
With the nearest neighbours (Å) after each atom.
Space group Cmmm (No. 65)
Asymmetric unit:
Tl 0.2500 0.2500 0.0000  4 Tl 3.14-3.16
Te 0.0000 0.0000 0.5000  2 P 3.14, 2 Te 3.16
P 0.0000 0.5000 0.5000  2 Te 3.14, 2 P 3.16